! LiSm3Hg5 (PBE, optimized geometry); values from VASP
! density of states at the Fermi level: 13.9 states/eV/cell
! E_tot: -21.4 eV per formula unit
&SYSTEM
  ibrav = 0, nat = 18, ntyp = 3
/
ATOMIC_SPECIES
Li 6.94 Li.upf
Sm 150.36 Sm.upf
Hg 200.59 Hg.upf
CELL_PARAMETERS angstrom
9.144 0.000 0.000
-4.572 7.919 0.000
0.000 0.000 6.330
ATOMIC_POSITIONS crystal
Li 0.000 0.000 0.000
Li 0.000 0.000 0.500
Sm 0.000 0.365 0.250
Sm 0.000 0.635 0.750
Sm 0.365 0.000 0.250
Sm 0.365 0.365 0.750
Sm 0.635 0.000 0.750
Sm 0.635 0.635 0.250
Hg 0.000 0.291 0.750
Hg 0.000 0.709 0.250
Hg 0.291 0.000 0.750
Hg 0.291 0.291 0.250
Hg 0.333 0.667 0.000
Hg 0.333 0.667 0.500
Hg 0.667 0.333 0.000
Hg 0.667 0.333 0.500
Hg 0.709 0.000 0.250
Hg 0.709 0.709 0.750

! Li2Sm3Hg7 (PBE, optimized geometry); values from VASP
! density of states at the Fermi level: 9.1 states/eV/cell
! E_tot: -24.0 eV per formula unit
&SYSTEM
  ibrav = 0, nat = 12, ntyp = 3
/
ATOMIC_SPECIES
Li 6.94 Li.upf
Sm 150.36 Sm.upf
Hg 200.59 Hg.upf
CELL_PARAMETERS angstrom
2.439 -13.807 0.000
2.439 13.807 0.000
0.000 0.000 4.292
ATOMIC_POSITIONS crystal
Li 0.130 0.870 0.000
Li 0.870 0.130 0.000
Sm 0.317 0.683 0.500
Sm 0.500 0.500 0.500
Sm 0.683 0.317 0.500
Hg 0.000 0.000 0.000
Hg 0.080 0.920 0.500
Hg 0.221 0.779 0.000
Hg 0.408 0.592 0.000
Hg 0.592 0.408 0.000
Hg 0.779 0.221 0.000
Hg 0.920 0.080 0.500

! Li3SmHg3 (PBE, optimized geometry); values from VASP
! density of states at the Fermi level: 13.2 states/eV/cell
! E_tot: -11.3 eV per formula unit
&SYSTEM
  ibrav = 0, nat = 14, ntyp = 3
/
ATOMIC_SPECIES
Li 6.94 Li.upf
Sm 150.36 Sm.upf
Hg 200.59 Hg.upf
CELL_PARAMETERS angstrom
6.988 0.000 0.000
0.000 6.988 0.000
0.000 0.000 6.988
ATOMIC_POSITIONS crystal
Li 0.000 0.250 0.500
Li 0.000 0.750 0.500
Li 0.250 0.500 0.000
Li 0.500 0.000 0.250
Li 0.500 0.000 0.750
Li 0.750 0.500 0.000
Sm 0.000 0.000 0.000
Sm 0.500 0.500 0.500
Hg 0.000 0.500 0.250
Hg 0.000 0.500 0.750
Hg 0.250 0.000 0.500
Hg 0.500 0.250 0.000
Hg 0.500 0.750 0.000
Hg 0.750 0.000 0.500